(1)
# In4GaHg15 PBE optimized geometry
data_In4GaHg15
_chemical_formula_sum 'In8 Ga2 Hg30'
_symmetry_space_group_name_H-M 'C m m m'
_symmetry_Int_Tables_number 65
_symmetry_space_group_name_Hall '-C 2 2'
_cell_length_a 6.8342
_cell_length_b 7.6352
_cell_length_c 20.1188
_cell_angle_alpha 90.00
_cell_angle_beta 90.00
_cell_angle_gamma 90.00
loop_
_atom_site_label
_atom_site_fract_x
_atom_site_fract_y
_atom_site_fract_z
In1 0.0000 0.0000 0.1020
In2 0.0000 0.0000 0.3055
Ga1 0.0000 0.0000 0.5000
Hg1 0.0000 0.5000 0.1013
Hg2 0.0000 0.5000 0.3040
Hg3 0.0000 0.5000 0.5000
Hg4 0.2500 0.2500 0.0000
Hg5 0.2500 0.2500 0.2029
Hg6 0.2500 0.2500 0.4057
# Formation energy from the elements ... 0.005 eV/atom
# Uncorrected energy ... -0.920 eV per atom
# M_tot ... 0.00 μB per formula unit

(2)
# In3Ga5Hg2 PBE optimized geometry
data_In3Ga5Hg2
_chemical_formula_sum 'In6 Ga10 Hg4'
_symmetry_space_group_name_H-M 'P -1'
_symmetry_Int_Tables_number 2
_symmetry_space_group_name_Hall '-P 1'
_cell_length_a 6.8091
_cell_length_b 7.9162
_cell_length_c 9.2451
_cell_angle_alpha 88.06
_cell_angle_beta 89.33
_cell_angle_gamma 70.66
loop_
_atom_site_label
_atom_site_fract_x
_atom_site_fract_y
_atom_site_fract_z
In1 0.0836 0.1141 0.1251
In2 0.2429 0.0551 0.5180
In3 0.3727 0.3750 0.3765
Ga1 0.0016 0.4268 0.8072
Ga2 0.1566 0.7959 0.3274
Ga3 0.2952 0.3592 0.0111
Ga4 0.3018 0.7015 0.0458
Ga5 0.4283 0.2840 0.7125
Hg1 0.1632 0.6586 0.6293
Hg2 0.4004 0.9520 0.8354
# Formation energy from the elements ... 0.043 eV/atom
# Uncorrected energy ... -2.352 eV per atom
# M_tot ... 0.00 μB per formula unit

(3)
# In12Ga6Hg PBE optimized geometry
data_In12Ga6Hg
_chemical_formula_sum 'In36 Ga18 Hg3'
_symmetry_space_group_name_H-M 'R -3'
_symmetry_Int_Tables_number 148
_symmetry_space_group_name_Hall '-R 3'
_cell_length_a 12.4360
_cell_length_b 12.4360
_cell_length_c 11.9523
_cell_angle_alpha 90.00
_cell_angle_beta 90.00
_cell_angle_gamma 120.00
loop_
_atom_site_label
_atom_site_fract_x
_atom_site_fract_y
_atom_site_fract_z
In1 0.0424 0.2253 0.4073
In2 0.0426 0.2317 0.8981
Ga1 0.0483 0.2457 0.6596
Hg1 0.0000 0.0000 0.0000
# Formation energy from the elements ... 0.081 eV/atom
# Uncorrected energy ... -2.620 eV per atom
# M_tot ... 0.00 μB per formula unit
# Relative energy among the computed polymorphs ... 30 meV per atom

(4)
# In2GaHg3 PBE optimized geometry
data_In2GaHg3
_chemical_formula_sum 'In8 Ga4 Hg12'
_symmetry_space_group_name_H-M 'C m c m'
_symmetry_Int_Tables_number 63
_symmetry_space_group_name_Hall '-C 2c 2'
_cell_length_a 14.3292
_cell_length_b 6.8587
_cell_length_c 6.3788
_cell_angle_alpha 90.00
_cell_angle_beta 90.00
_cell_angle_gamma 90.00
loop_
_atom_site_label
_atom_site_fract_x
_atom_site_fract_y
_atom_site_fract_z
In1 0.1283 0.0000 0.0000
Ga1 0.0000 0.2842 0.2500
Hg1 0.0000 0.3038 0.7500
Hg2 0.1874 0.4386 0.2500
# Formation energy from the elements ... 0.044 eV/atom
# Uncorrected energy ... -1.524 eV per atom
# M_tot ... 0.00 μB per formula unit
# Relative energy among the computed polymorphs ... 6 meV per atom

(5)
# In3Ga4Hg2 PBE optimized geometry
data_In3Ga4Hg2
_chemical_formula_sum 'In3 Ga4 Hg2'
_symmetry_space_group_name_H-M 'P 3 m 1'
_symmetry_Int_Tables_number 156
_symmetry_space_group_name_Hall 'P 3 -2"'
_cell_length_a 4.0516
_cell_length_b 4.0516
_cell_length_c 16.7598
_cell_angle_alpha 90.00
_cell_angle_beta 90.00
_cell_angle_gamma 120.00
loop_
_atom_site_label
_atom_site_fract_x
_atom_site_fract_y
_atom_site_fract_z
In1 0.0000 0.0000 0.0000
In2 0.0000 0.0000 0.3802
In3 0.3333 0.6667 0.7130
Ga1 0.0000 0.0000 0.6032
Ga2 0.0000 0.0000 0.8192
Ga3 0.3333 0.6667 0.0992
Ga4 0.3333 0.6667 0.8967
Hg1 0.3333 0.6667 0.2583
Hg2 0.3333 0.6667 0.5011
# Formation energy from the elements ... 0.117 eV/atom
# Uncorrected energy ... -2.208 eV per atom
# M_tot ... 0.00 μB per formula unit
# Relative energy among the computed polymorphs ... 69 meV per atom

(6)
# In6GaHg8 PBE optimized geometry
data_In6GaHg8
_chemical_formula_sum 'In18 Ga3 Hg24'
_symmetry_space_group_name_H-M 'R -3'
_symmetry_Int_Tables_number 148
_symmetry_space_group_name_Hall '-R 3'
_cell_length_a 9.8621
_cell_length_b 9.8621
_cell_length_c 14.4244
_cell_angle_alpha 90.00
_cell_angle_beta 90.00
_cell_angle_gamma 120.00
loop_
_atom_site_label
_atom_site_fract_x
_atom_site_fract_y
_atom_site_fract_z
In1 0.0230 0.3904 0.3357
Ga1 0.0000 0.0000 0.0000
Hg1 0.0000 0.0000 0.3980
Hg2 0.0656 0.2156 0.1744
# Formation energy from the elements ... 0.028 eV/atom
# Uncorrected energy ... -1.430 eV per atom
# M_tot ... 0.00 μB per formula unit

(7)
# In3GaHg5 PBE optimized geometry
data_In3GaHg5
_chemical_formula_sum 'In6 Ga2 Hg10'
_symmetry_space_group_name_H-M 'P 1 21/m 1'
_symmetry_Int_Tables_number 11
_symmetry_space_group_name_Hall '-P 2yb'
_cell_length_a 9.0393
_cell_length_b 6.0379
_cell_length_c 9.4941
_cell_angle_alpha 90.00
_cell_angle_beta 115.69
_cell_angle_gamma 90.00
loop_
_atom_site_label
_atom_site_fract_x
_atom_site_fract_y
_atom_site_fract_z
In1 0.0019 0.2500 0.3919
In2 0.3788 0.2500 0.9984
In3 0.3828 0.7500 0.3905
Ga1 0.0000 0.0000 0.0000
Hg1 0.0054 0.2500 0.7274
Hg2 0.2748 0.2500 0.2759
Hg3 0.2783 0.7500 0.9996
Hg4 0.3364 0.0005 0.6711
# Formation energy from the elements ... 0.032 eV/atom
# Uncorrected energy ... -1.385 eV per atom
# M_tot ... 0.00 μB per formula unit
# Relative energy among the computed polymorphs ... 2 meV per atom

(8)
# In7Ga4Hg PBE optimized geometry
data_In7Ga4Hg
_chemical_formula_sum 'In7 Ga4 Hg1'
_symmetry_space_group_name_H-M 'P -3 m 1'
_symmetry_Int_Tables_number 164
_symmetry_space_group_name_Hall '-P 3 2"'
_cell_length_a 3.5592
_cell_length_b 3.5592
_cell_length_c 27.1616
_cell_angle_alpha 90.00
_cell_angle_beta 90.00
_cell_angle_gamma 120.00
loop_
_atom_site_label
_atom_site_fract_x
_atom_site_fract_y
_atom_site_fract_z
In1 0.0000 0.0000 0.0000
In2 0.0000 0.0000 0.2523
In3 0.3333 0.6667 0.1608
In4 0.3333 0.6667 0.4126
Ga1 0.3333 0.6667 0.6678
Ga2 0.3333 0.6667 0.9195
Hg1 0.0000 0.0000 0.5000
# Formation energy from the elements ... 0.041 eV/atom
# Uncorrected energy ... -2.590 eV per atom
# M_tot ... 0.00 μB per formula unit

Q: Look up the M_tot of the fifth one.
A: 0.00 μB per formula unit

Q: Which formula does entry 3 have?
A: In12Ga6Hg

Q: Number 1 is which compound?
A: In4GaHg15